Entry 1:
Material: PuTlPb
Method: DFT, PBE
State: optimized geometry

Cell: 5.6056 5.6056 6.6193 Å, 90.00 90.00 123.10°
Fractional positions:
1 Pu 0.1597 0.8403 0.7500
2 Pu 0.8403 0.1597 0.2500
3 Tl 0.5000 0.5000 0.0000
4 Tl 0.5000 0.5000 0.5000
5 Pb 0.1646 0.8354 0.2500
6 Pb 0.8354 0.1646 0.7500

Summary:
Space-group type: No. 63
VASP energy (eV/atom): -6.79
Crystal system: orthorhombic

=====

Entry 2:
Material: Tb2Dy3Bi3
Method: DFT, PBE
State: optimized geometry

Cell: 9.1975 9.1975 6.3816 Å, 90.00 90.00 120.00°
Fractional positions:
1 Tb 0.3333 0.6667 0.0000
2 Tb 0.3333 0.6667 0.5000
3 Tb 0.6667 0.3333 0.0000
4 Tb 0.6667 0.3333 0.5000
5 Dy 0.0000 0.2434 0.2500
6 Dy 0.0000 0.7566 0.7500
7 Dy 0.2434 0.0000 0.2500
8 Dy 0.2434 0.2434 0.7500
9 Dy 0.7566 0.0000 0.7500
10 Dy 0.7566 0.7566 0.2500
11 Bi 0.0000 0.3886 0.7500
12 Bi 0.0000 0.6114 0.2500
13 Bi 0.3886 0.0000 0.7500
14 Bi 0.3886 0.3886 0.2500
15 Bi 0.6114 0.0000 0.2500
16 Bi 0.6114 0.6114 0.7500

Summary:
Space-group type: No. 193
VASP energy (eV/atom): -5.03
Crystal system: hexagonal

=====

Entry 3:
Material: Hf2Tl2PdSe6
Method: DFT, PBE
State: optimized geometry

Cell: 6.6089 6.6089 8.2337 Å, 97.52 97.52 119.70°
Fractional positions:
1 Hf 0.1756 0.8244 0.0000
2 Hf 0.8244 0.1756 0.0000
3 Tl 0.3365 0.6635 0.5000
4 Tl 0.6635 0.3365 0.5000
5 Pd 0.5000 0.5000 0.0000
6 Se 0.0870 0.4215 0.7983
7 Se 0.2355 0.2355 0.1775
8 Se 0.4215 0.0870 0.7983
9 Se 0.5785 0.9130 0.2017
10 Se 0.7645 0.7645 0.8225
11 Se 0.9130 0.5785 0.2017

Summary:
Space-group type: No. 12
E_form (uncorrected) (meV per atom): -842.7
Crystal system: monoclinic

=====

Entry 4:
Material: La4Zn2Pt
Method: DFT, PBE
State: optimized geometry

Cell: 9.0262 9.0262 9.0262 Å, 33.81 33.81 33.81°
Fractional positions:
1 La 0.1221 0.1221 0.1221
2 La 0.3734 0.3734 0.3734
3 La 0.6266 0.6266 0.6266
4 La 0.8779 0.8779 0.8779
5 Zn 0.2449 0.2449 0.2449
6 Zn 0.7551 0.7551 0.7551
7 Pt 0.0000 0.0000 0.0000

Summary:
Space-group type: No. 166
VASP energy (eV/atom): -4.45
Crystal system: trigonal

=====

Entry 5:
Material: Rb2Bi2Pb
Method: DFT, PBE
State: optimized geometry

Cell: 8.8969 8.8969 8.8969 Å, 146.79 146.79 47.67°
Fractional positions:
1 Rb 0.2500 0.7500 0.5000
2 Rb 0.7500 0.2500 0.5000
3 Bi 0.0896 0.0896 0.0000
4 Bi 0.9104 0.9104 0.0000
5 Pb 0.5000 0.5000 0.0000

Summary:
Space-group type: No. 139
VASP energy (eV/atom): -2.55
Crystal system: tetragonal

=====

Entry 6:
Material: CrNi2AsH
Method: DFT, PBE
State: optimized geometry

Cell: 3.6221 3.6221 3.8870 Å, 90.00 90.00 90.00°
Fractional positions:
1 Cr 0.0000 0.0000 0.0000
2 Ni 0.0000 0.5000 0.5000
3 Ni 0.5000 0.0000 0.5000
4 As 0.5000 0.5000 0.0000
5 H 0.0000 0.0000 0.5000

Summary:
Space-group type: No. 123
VASP energy (eV/atom): -5.93
Crystal system: tetragonal

=====

| no. | total moment (μB/f.u.) |
| --- | --- |
| 1 | 5.81 |
| 2 | 0.35 |
| 3 | 0.00 |
| 4 | 0.00 |
| 5 | 0.00 |
| 6 | 2.23 |